No. 1
5
Lattice="4.544 0.000 0.000 0.000 4.544 0.000 0.000 0.000 4.623" Properties=species:S:1:pos:R:3 comment="CdNiS2Cl GGA-PBE optimized geometry" total_energy_ev_per_atom=-3.318 e_form_raw_ev_per_fu=0.2 density_g_cm3=4.71 spacegroup=P4/mmm de_polymorph_mev_per_atom=0 vol_a3_per_atom=19.09 pbc="T T T"
Cd 0.000 0.000 0.000
Ni 2.272 2.272 2.311
S 0.000 2.272 2.311
S 2.272 0.000 2.311
Cl 2.272 2.272 0.000

No. 2
5
Lattice="4.967 0.000 0.000 0.000 4.967 0.000 0.000 0.000 5.075" Properties=species:S:1:pos:R:3 comment="CdNiSCl2 GGA-PBE optimized geometry" total_energy_ev_per_atom=-2.481 e_form_raw_ev_per_fu=2.1 density_g_cm3=3.64 spacegroup=P4/mmm de_polymorph_mev_per_atom=616 vol_a3_per_atom=25.04 pbc="T T T"
Cd 0.000 0.000 0.000
Ni 2.483 2.483 2.538
S 0.000 0.000 2.538
Cl 0.000 2.483 0.000
Cl 2.483 0.000 0.000